Record 1
Sr2MgPd | PBE | relaxed

Unit cell a=11.193 b=11.193 c=5.144 alpha=90.00 beta=90.00 gamma=90.00
Space group I-42d (No. 122)
Asymmetric unit:
Sr 0.088 0.250 0.125 (multiplicity 8)
Mg 0.000 0.000 0.500 (multiplicity 4)
Pd 0.000 0.000 0.000 (multiplicity 4)

Summary:
DOS(E_F): 0.39 states/eV/atom
DFT formation energy: -239 meV per atom


Record 2
AcPuTl2 | PBE | relaxed

Unit cell a=3.628 b=3.628 c=9.412 alpha=90.00 beta=90.00 gamma=90.00
Space group P4/mmm (No. 123)
Asymmetric unit:
Ac 0.000 0.000 0.000 (multiplicity 1)
Pu 0.000 0.000 0.500 (multiplicity 1)
Tl 0.500 0.500 0.265 (multiplicity 2)

Summary:
DOS(E_F): 2.63 states/eV/atom
DFT formation energy: -138 meV per atom


Record 3
PmLuZnPd | PBE | relaxed

Unit cell a=7.101 b=7.101 c=7.101 alpha=90.00 beta=90.00 gamma=90.00
Space group F-43m (No. 216)
Asymmetric unit:
Pm 0.000 0.000 0.000 (multiplicity 4)
Lu 0.000 0.000 0.500 (multiplicity 4)
Zn 0.250 0.250 0.750 (multiplicity 4)
Pd 0.250 0.250 0.250 (multiplicity 4)

Summary:
DOS(E_F): 0.76 states/eV/atom
DFT formation energy: -573 meV per atom